# Rb4Hg5Au2

An optimized crystal structure of Rb4Hg5Au2 (PBE, the Alexandria database).

abc: 8.434 5.068 9.818
angles: 90.00 90.10 90.00
Atoms (fractional coordinates):
Rb: 0.223 0.000 0.142
Rb: 0.233 0.000 0.606
Rb: 0.767 0.000 0.394
Rb: 0.777 0.000 0.858
Hg: 0.115 0.500 0.875
Hg: 0.426 0.500 0.351
Hg: 0.500 0.500 0.000
Hg: 0.574 0.500 0.649
Hg: 0.885 0.500 0.125
Au: 0.079 0.500 0.373
Au: 0.921 0.500 0.627

Values from the calculation:
* crystal system: monoclinic
* formation enthalpy at 0 K: -0.27 eV per atom
* ρ: 6.88 Mg/m³
* space group: P2/m (10)
* uncorrected energy: -1.3542 eV/atom